Record 1
4
Lattice="3.185 0.000 0.000 0.000 4.640 0.000 -1.593 -2.320 4.640" Properties=species:S:1:pos:R:3 comment="meta-GGA SCAN LiMgCr2, single point on PBEsol structure" ef_ev_per_atom=0.43 total_magnetization_mub_per_atom=2.22 energy_ev_per_atom=-10.60 pbc="T T T"
Cr 0.000 0.000 0.020
Mg 0.000 2.320 2.256
Li 0.000 0.000 4.600
Cr 1.593 0.000 2.405

***

Record 2
4
Lattice="-1.550 1.846 -1.084 -0.949 -1.317 2.086 3.372 5.932 5.279" Properties=species:S:1:pos:R:3 comment="meta-GGA SCAN Zn2FeIr, single point on PBEsol structure" ef_ev_per_atom=-0.01 total_magnetization_mub_per_atom=0.77 energy_ev_per_atom=-29.08 pbc="T T T"
Fe 1.688 2.970 2.643
Zn 1.252 4.665 4.417
Zn 3.372 5.932 5.279
Ir -0.381 1.793 1.861

***

Record 3
4
Lattice="-2.454 -0.913 -0.730 1.864 -3.008 -2.504 0.036 -3.016 3.650" Properties=species:S:1:pos:R:3 comment="meta-GGA SCAN NiIrW2, single point on PBEsol structure" ef_ev_per_atom=-0.15 total_magnetization_mub_per_atom=0.00 energy_ev_per_atom=-56.81 pbc="T T T"
W 0.002 -0.165 0.200
W 0.957 -3.640 1.333
Ni -0.288 -2.564 -0.887
Ir -1.208 -2.076 1.595